(1)
Below is a geometry-optimized FeCo2Pb structure, with properties calculated at the GGA-PBE level.

* formation energy: 0.719 eV per atom
* symmetry: No. 122

a = 3.922 Å, b = 3.922 Å, c = 8.976 Å
α = 77.38°, β = 77.38°, γ = 90.00°
Site moments in Bohr magnetons follow the coordinates.
Sites, in units of the cell vectors:
Pb 0.000 0.000 0.000  -0.08
Pb 0.750 0.250 0.500  -0.08
Co 0.541 0.125 0.250  1.43
Co 0.209 0.625 0.250  1.43
Co 0.375 0.459 0.750  1.46
Co 0.875 0.791 0.750  1.44
Fe 0.500 0.500 0.000  2.56
Fe 0.250 0.750 0.500  2.55

=====

(2)
Below is a geometry-optimized FeCo2Pb structure, with properties calculated at the GGA-PBE level.

* formation energy: 0.633 eV per atom
* symmetry: No. 160

a = 8.113 Å, b = 8.113 Å, c = 8.113 Å
α = 21.69°, β = 21.69°, γ = 21.69°
Site moments in Bohr magnetons follow the coordinates.
Sites, in units of the cell vectors:
Co 0.987 0.987 0.987  1.66
Co 0.250 0.250 0.250  1.89
Fe 0.515 0.515 0.515  2.79
Pb 0.748 0.748 0.748  -0.01

=====

(3)
Below is a geometry-optimized Fe2CoPb structure, with properties calculated at the GGA-PBE level.

* formation energy: 0.418 eV per atom
* symmetry: No. 123

a = 3.775 Å, b = 3.771 Å, c = 4.072 Å
α = 90.00°, β = 90.00°, γ = 90.00°
Site moments in Bohr magnetons follow the coordinates.
Sites, in units of the cell vectors:
Co 0.000 0.500 0.500  1.19
Fe 0.000 0.000 0.000  2.62
Fe 0.500 0.500 0.000  2.62
Pb 0.500 0.000 0.500  -0.09

=====

(4)
Below is a geometry-optimized Fe2CoPb structure, with properties calculated at the GGA-PBE level.

* formation energy: 0.402 eV per atom
* symmetry: No. 47

a = 3.261 Å, b = 3.097 Å, c = 6.948 Å
α = 63.48°, β = 90.00°, γ = 90.00°
Site moments in Bohr magnetons follow the coordinates.
Sites, in units of the cell vectors:
Co 0.500 0.750 0.750  1.80
Fe 0.000 0.064 0.936  2.74
Fe 0.000 0.436 0.564  2.74
Pb 0.500 0.250 0.250  0.01

=====

(5)
Below is a geometry-optimized Fe2CoPb structure, with properties calculated at the GGA-PBE level.

* formation energy: 0.916 eV per atom
* symmetry: No. 122

a = 3.733 Å, b = 3.733 Å, c = 9.114 Å
α = 78.18°, β = 78.18°, γ = 90.00°
Sites, in units of the cell vectors:
Pb 0.000 0.000 0.000
Pb 0.750 0.250 0.500
Co 0.500 0.500 0.000
Co 0.250 0.750 0.500
Fe 0.528 0.125 0.250
Fe 0.222 0.625 0.250
Fe 0.375 0.472 0.750
Fe 0.875 0.778 0.750

=====

(6)
Below is a geometry-optimized FeCo2Pb structure, with properties calculated at the GGA-PBE level.

* formation energy: 0.440 eV per atom
* symmetry: No. 8

a = 4.665 Å, b = 4.665 Å, c = 4.513 Å
α = 75.18°, β = 75.18°, γ = 38.57°
Site moments in Bohr magnetons follow the coordinates.
Sites, in units of the cell vectors:
Co 0.014 0.014 0.956  1.54
Co 0.752 0.752 0.740  1.40
Fe 0.483 0.483 0.563  2.72
Pb 0.251 0.251 0.241  -0.05

=====

(7)
Below is a geometry-optimized Fe2CoPb structure, with properties calculated at the GGA-PBE level.

* formation energy: 0.433 eV per atom
* symmetry: No. 8

a = 4.518 Å, b = 4.518 Å, c = 4.829 Å
α = 77.58°, β = 77.58°, γ = 39.43°
Site moments in Bohr magnetons follow the coordinates.
Sites, in units of the cell vectors:
Co 0.735 0.735 0.809  1.52
Fe 0.002 0.002 0.998  2.60
Fe 0.266 0.266 0.190  2.59
Pb 0.498 0.498 0.503  -0.07

=====

(8)
Below is a geometry-optimized Fe2CoPb structure, with properties calculated at the GGA-PBE level.

* formation energy: 0.419 eV per atom
* symmetry: No. 139

a = 4.859 Å, b = 4.859 Å, c = 4.859 Å
α = 134.24°, β = 134.24°, γ = 66.71°
Site moments in Bohr magnetons follow the coordinates.
Sites, in units of the cell vectors:
Co 0.750 0.250 0.500  1.39
Fe 0.000 0.000 0.000  2.57
Fe 0.500 0.500 0.000  2.57
Pb 0.250 0.750 0.500  -0.09

=====

(9)
Below is a geometry-optimized FeCo2Pb structure, with properties calculated at the GGA-PBE level.

* formation energy: 0.398 eV per atom
* symmetry: No. 123

a = 4.204 Å, b = 4.204 Å, c = 3.250 Å
α = 90.00°, β = 90.00°, γ = 89.97°
Site moments in Bohr magnetons follow the coordinates.
Sites, in units of the cell vectors:
Co 0.000 0.000 0.000  1.33
Co 0.500 0.500 0.000  1.33
Fe 0.500 0.000 0.500  2.92
Pb 0.000 0.500 0.500  -0.04

=====

(10)
Below is a geometry-optimized FeCo2Pb structure, with properties calculated at the GGA-PBE level.

* formation energy: 0.575 eV per atom
* symmetry: No. 166

a = 8.144 Å, b = 8.144 Å, c = 8.144 Å
α = 21.36°, β = 21.36°, γ = 21.36°
Site moments in Bohr magnetons follow the coordinates.
Sites, in units of the cell vectors:
Co 0.988 0.988 0.988  1.60
Co 0.512 0.512 0.512  1.60
Fe 0.250 0.250 0.250  2.87
Pb 0.750 0.750 0.750  -0.02

=====

(11)
Below is a geometry-optimized Fe2CoPb structure, with properties calculated at the GGA-PBE level.

* formation energy: 0.604 eV per atom
* symmetry: No. 160

a = 8.246 Å, b = 8.246 Å, c = 8.246 Å
α = 21.18°, β = 21.18°, γ = 21.18°
Site moments in Bohr magnetons follow the coordinates.
Sites, in units of the cell vectors:
Co 0.738 0.738 0.738  1.61
Fe 0.002 0.002 0.002  2.78
Fe 0.262 0.262 0.262  2.74
Pb 0.498 0.498 0.498  -0.02

=====

(12)
Below is a geometry-optimized Fe2CoPb structure, with properties calculated at the GGA-PBE level.

* formation energy: 0.606 eV per atom
* symmetry: No. 166

a = 8.272 Å, b = 8.272 Å, c = 8.272 Å
α = 21.33°, β = 21.33°, γ = 21.33°
Site moments in Bohr magnetons follow the coordinates.
Sites, in units of the cell vectors:
Co 0.750 0.750 0.750  1.85
Fe 0.015 0.015 0.015  2.86
Fe 0.485 0.485 0.485  2.86
Pb 0.250 0.250 0.250  0.00

=====

(13)
Below is a geometry-optimized Fe2CoPb structure, with properties calculated at the GGA-PBE level.

* formation energy: 0.378 eV per atom
* symmetry: No. 119

a = 4.316 Å, b = 4.316 Å, c = 4.316 Å
α = 119.94°, β = 119.93°, γ = 90.11°
Site moments in Bohr magnetons follow the coordinates.
Sites, in units of the cell vectors:
Co 0.250 0.750 0.500  1.16
Fe 0.000 0.000 0.000  2.78
Fe 0.750 0.250 0.500  2.10
Pb 0.500 0.500 0.000  -0.06

=====

(14)
Below is a geometry-optimized FeCo3Pb structure, with properties calculated at the GGA-PBE level.

* formation energy: 0.944 eV per atom
* symmetry: No. 221

a = 4.381 Å, b = 4.381 Å, c = 4.381 Å
α = 90.00°, β = 90.00°, γ = 90.00°
Site moments in Bohr magnetons follow the coordinates.
Sites, in units of the cell vectors:
Pb 0.500 0.500 0.500  0.00
Co 0.000 0.500 0.000  1.79
Co 0.000 0.000 0.500  2.14
Co 0.500 0.000 0.000  1.29
Fe 0.000 0.000 0.000  2.48

=====

(15)
Below is a geometry-optimized FeCo2Pb structure, with properties calculated at the GGA-PBE level.

* formation energy: 0.477 eV per atom
* symmetry: No. 216

a = 4.310 Å, b = 4.310 Å, c = 4.310 Å
α = 60.00°, β = 60.00°, γ = 60.00°
Site moments in Bohr magnetons follow the coordinates.
Sites, in units of the cell vectors:
Co 0.000 0.000 0.000  1.20
Co 0.250 0.250 0.250  1.70
Fe 0.500 0.500 0.500  2.36
Pb 0.750 0.750 0.750  -0.05

=====

(16)
Below is a geometry-optimized FeCo3Pb structure, with properties calculated at the GGA-PBE level.

* formation energy: 2.277 eV per atom
* symmetry: No. 221

a = 4.719 Å, b = 4.719 Å, c = 4.719 Å
α = 90.00°, β = 90.00°, γ = 90.00°
Site moments in Bohr magnetons follow the coordinates.
Sites, in units of the cell vectors:
Pb 0.000 0.000 0.000  -0.07
Co 0.000 0.500 0.000  1.47
Co 0.000 0.000 0.500  1.67
Co 0.500 0.000 0.000  1.53
Fe 0.500 0.500 0.500  -0.11

=====

(17)
Below is a geometry-optimized FeCoPb structure, with properties calculated at the GGA-PBE level.

* formation energy: 0.537 eV per atom
* symmetry: No. 156

a = 4.157 Å, b = 4.157 Å, c = 3.307 Å
α = 90.00°, β = 90.00°, γ = 120.00°
Site moments in Bohr magnetons follow the coordinates.
Sites, in units of the cell vectors:
Co 0.000 0.000 0.114  1.48
Fe 0.333 0.667 0.213  2.63
Pb 0.667 0.333 0.673  -0.02

=====

(18)
Below is a geometry-optimized FeCo2Pb structure, with properties calculated at the GGA-PBE level.

* formation energy: 0.429 eV per atom
* symmetry: No. 119

a = 4.814 Å, b = 4.814 Å, c = 4.814 Å
α = 134.01°, β = 134.01°, γ = 67.07°
Site moments in Bohr magnetons follow the coordinates.
Sites, in units of the cell vectors:
Co 0.000 0.000 0.000  1.39
Co 0.250 0.750 0.500  1.35
Fe 0.500 0.500 0.000  2.64
Pb 0.750 0.250 0.500  -0.07

=====

(19)
Below is a geometry-optimized FeCo2Pb structure, with properties calculated at the GGA-PBE level.

* formation energy: 0.614 eV per atom
* symmetry: No. 12

a = 5.012 Å, b = 5.012 Å, c = 2.885 Å
α = 76.84°, β = 76.84°, γ = 115.10°
Site moments in Bohr magnetons follow the coordinates.
Sites, in units of the cell vectors:
Co 0.000 0.000 0.000  1.51
Co 0.500 0.500 0.000  1.51
Fe 0.500 0.000 0.500  2.68
Pb 0.000 0.500 0.500  -0.05

=====

(20)
Below is a geometry-optimized RbFeCo2Pb structure, with properties calculated at the GGA-PBE level.

* formation energy: 1.005 eV per atom
* symmetry: No. 123

a = 4.616 Å, b = 4.874 Å, c = 4.616 Å
α = 90.00°, β = 90.00°, γ = 90.00°
Site moments in Bohr magnetons follow the coordinates.
Sites, in units of the cell vectors:
Pb 0.000 0.500 0.000  -0.05
Co 0.000 0.000 0.500  2.17
Co 0.500 0.000 0.000  1.80
Fe 0.000 0.000 0.000  1.85
Rb 0.500 0.500 0.500  -0.03

=====

(21)
Below is a geometry-optimized Fe3Co2Pd6 structure, with properties calculated at the GGA-PBE level.

* formation energy: 0.075 eV per atom
* symmetry: No. 2

a = 2.673 Å, b = 4.355 Å, c = 13.539 Å
α = 99.28°, β = 97.60°, γ = 89.98°
Site moments in Bohr magnetons follow the coordinates.
Sites, in units of the cell vectors:
Fe 0.000 0.000 0.000  3.00
Fe 0.820 0.819 0.638  -3.11
Fe 0.180 0.181 0.362  -3.11
Co 0.580 0.461 0.921  -1.69
Co 0.420 0.539 0.079  -1.69
Pd 0.560 0.089 0.178  -0.12
Pd 0.090 0.628 0.257  -0.24
Pd 0.440 0.911 0.822  -0.12
Pd 0.910 0.372 0.743  -0.24
Pd 0.720 0.722 0.445  -0.28
Pd 0.280 0.278 0.555  -0.28

=====

(22)
Below is a geometry-optimized Fe2CoPd2 structure, with properties calculated at the GGA-PBE level.

* formation energy: 0.452 eV per atom
* symmetry: No. 127

a = 5.724 Å, b = 5.724 Å, c = 3.975 Å
α = 90.00°, β = 90.00°, γ = 90.00°
Sites, in units of the cell vectors:
Co 0.000 0.000 0.000
Co 0.500 0.500 0.000
Fe 0.374 0.874 0.000
Fe 0.874 0.626 0.000
Fe 0.626 0.126 0.000
Fe 0.126 0.374 0.000
Pd 0.175 0.675 0.500
Pd 0.675 0.825 0.500
Pd 0.825 0.325 0.500
Pd 0.325 0.175 0.500

=====

(23)
Below is a geometry-optimized Fe2CoPd structure, with properties calculated at the GGA-PBE level.

* formation energy: 0.453 eV per atom
* symmetry: No. 122

a = 6.622 Å, b = 6.622 Å, c = 5.326 Å
α = 51.56°, β = 51.56°, γ = 90.00°
Site moments in Bohr magnetons follow the coordinates.
Sites, in units of the cell vectors:
Co 0.500 0.500 0.000  1.67
Co 0.250 0.750 0.500  1.67
Fe 0.605 0.125 0.250  2.90
Fe 0.145 0.625 0.250  2.90
Fe 0.375 0.395 0.750  2.90
Fe 0.875 0.855 0.750  2.90
Pd 0.000 0.000 0.000  0.28
Pd 0.750 0.250 0.500  0.28

=====

(24)
Below is a geometry-optimized Fe4Co3Pd structure, with properties calculated at the GGA-PBE level.

* formation energy: 0.011 eV per atom
* symmetry: No. 123

a = 3.917 Å, b = 6.350 Å, c = 7.832 Å
α = 90.00°, β = 90.00°, γ = 90.00°
Site moments in Bohr magnetons follow the coordinates.
Sites, in units of the cell vectors:
Co 0.000 0.000 0.000  1.70
Co 0.000 0.000 0.500  1.70
Co 0.500 0.000 0.750  1.74
Co 0.500 0.000 0.250  1.74
Co 0.500 0.500 0.750  1.73
Co 0.500 0.500 0.250  1.73
Fe 0.500 0.766 0.000  2.86
Fe 0.500 0.766 0.500  2.86
Fe 0.500 0.234 0.000  2.86
Fe 0.500 0.234 0.500  2.86
Fe 0.000 0.766 0.750  2.86
Fe 0.000 0.766 0.250  2.86
Fe 0.000 0.234 0.250  2.86
Fe 0.000 0.234 0.750  2.86
Pd 0.000 0.500 0.000  0.32
Pd 0.000 0.500 0.500  0.32

=====

(25)
Below is a geometry-optimized FeCoPd2 structure, with properties calculated at the GGA-PBE level.

* formation energy: -0.010 eV per atom
* symmetry: No. 1

a = 2.772 Å, b = 5.544 Å, c = 4.770 Å
α = 118.38°, β = 107.00°, γ = 104.45°
Site moments in Bohr magnetons follow the coordinates.
Sites, in units of the cell vectors:
Fe 0.717 0.246 0.073  3.01
Co 0.284 0.523 0.928  1.89
Pd 0.273 0.044 0.385  0.32
Pd 0.727 0.723 0.615  0.30

=====

(26)
Below is a geometry-optimized Fe2CoPd structure, with properties calculated at the GGA-PBE level.

* formation energy: -0.025 eV per atom
* symmetry: No. 123

a = 2.737 Å, b = 2.737 Å, c = 6.783 Å
α = 90.00°, β = 90.00°, γ = 90.00°
Site moments in Bohr magnetons follow the coordinates.
Sites, in units of the cell vectors:
Co 0.500 0.500 0.000  1.66
Fe 0.000 0.000 0.777  2.90
Fe 0.000 0.000 0.223  2.90
Pd 0.500 0.500 0.500  0.31

=====

(27)
Below is a geometry-optimized Fe6CoPd5 structure, with properties calculated at the GGA-PBE level.

* formation energy: -0.027 eV per atom
* symmetry: No. 71

a = 3.834 Å, b = 7.402 Å, c = 7.064 Å
α = 121.59°, β = 105.75°, γ = 90.00°
Site moments in Bohr magnetons follow the coordinates.
Sites, in units of the cell vectors:
Co 0.000 0.000 0.000  1.66
Fe 0.839 0.595 0.678  2.95
Fe 0.839 0.083 0.678  2.95
Fe 0.500 0.759 0.000  2.87
Fe 0.500 0.241 0.000  2.87
Fe 0.161 0.917 0.322  2.95
Fe 0.161 0.405 0.322  2.95
Pd 0.666 0.166 0.331  0.34
Pd 0.334 0.334 0.667  0.35
Pd 0.000 0.500 0.000  0.34
Pd 0.666 0.666 0.333  0.35
Pd 0.334 0.834 0.669  0.34

=====

(28)
Below is a geometry-optimized FeCo4Pd structure, with properties calculated at the GGA-PBE level.

* formation energy: 0.084 eV per atom
* symmetry: No. 216

a = 4.698 Å, b = 4.698 Å, c = 4.698 Å
α = 60.00°, β = 60.00°, γ = 60.00°
Site moments in Bohr magnetons follow the coordinates.
Sites, in units of the cell vectors:
Co 0.625 0.625 0.125  1.79
Co 0.625 0.125 0.625  1.79
Co 0.625 0.625 0.625  1.79
Co 0.125 0.625 0.625  1.79
Fe 0.000 0.000 0.000  2.94
Pd 0.250 0.250 0.250  0.25